ErMgAlPd | PBE-GGA | relaxed

Unit cell a=4.809 b=4.809 c=4.809 alpha=60.00 beta=60.00 gamma=60.00
Fractional coordinates of all 4 atoms:
Al (0.500, 0.500, 0.500)
Mg (0.750, 0.750, 0.750)
Pd (0.000, 0.000, 0.000)
Er (0.250, 0.250, 0.250)

Summary:
The formation energy is -536 meV/atom. Its total moment is 0.00 μB/cell. For the density of states at the Fermi level, the calculation gives 1.066 states/eV/cell. The calculation puts the density at 6.863 g/cm3.